Arrangement w

Material: Ru2RhCl
Method: DFT, GGA-PBE
State: relaxed Values from VASP.

Results
Total moment, μB per formula unit: 0.00

Geometry as Quantum ESPRESSO input:
```
&SYSTEM
  ibrav = 0, nat = 4, ntyp = 3
/
ATOMIC_SPECIES
Ru 101.07 Ru.upf
Rh 102.91 Rh.upf
Cl 35.45 Cl.upf
CELL_PARAMETERS angstrom
4.630 0.000 0.000
0.000 2.779 0.000
-1.607 0.000 4.550
ATOMIC_POSITIONS crystal
Ru 0.000 0.000 0.000
Ru 0.000 0.500 0.500
Rh 0.500 0.000 0.500
Cl 0.500 0.500 0.000
```

***

Arrangement x

Material: Ru2RhCl
Method: DFT, GGA-PBE
State: relaxed Values from VASP.

Results
Total moment, μB per formula unit: 0.00

Geometry as Quantum ESPRESSO input:
```
&SYSTEM
  ibrav = 0, nat = 4, ntyp = 3
/
ATOMIC_SPECIES
Ru 101.07 Ru.upf
Rh 102.91 Rh.upf
Cl 35.45 Cl.upf
CELL_PARAMETERS angstrom
2.813 0.000 0.000
0.000 3.663 0.000
0.000 0.000 6.142
ATOMIC_POSITIONS crystal
Ru 0.000 0.000 0.208
Ru 0.000 0.000 0.792
Rh 0.500 0.500 0.000
Cl 0.000 0.500 0.500
```

***

Among the structures above, stability is greatest for arrangement x.